A plane-wave DFT calculation with GGA-PBE was carried out for a relaxed structure of ScCdIO2.

Cell lengths 4.270, 4.270, 5.593 Å; angles 90.00, 90.00, 90.00 degrees
Fractional positions:
Sc 0.000 0.000 0.000
Cd 0.500 0.500 0.500
I 0.500 0.500 0.000
O 0.000 0.500 0.500
O 0.500 0.000 0.500

Calculated values
* ΔE_f (raw): -0.238 eV/atom

A plane-wave DFT calculation with GGA-PBE was carried out for a relaxed structure of Hf6TcBi2.

Cell lengths 7.978, 7.978, 3.635 Å; angles 90.00, 90.00, 120.00 degrees
Fractional positions:
Hf 0.000 0.384 0.000
Hf 0.000 0.755 0.500
Hf 0.245 0.245 0.500
Hf 0.384 0.000 0.000
Hf 0.616 0.616 0.000
Hf 0.755 0.000 0.500
Tc 0.000 0.000 0.000
Bi 0.333 0.667 0.500
Bi 0.667 0.333 0.500

Calculated values
* ΔH_f (0 K): -173 kJ/mol of formula units

A plane-wave DFT calculation with GGA-PBE was carried out for a relaxed structure of Hf2AlSn.

Cell lengths 3.159, 3.159, 29.376 Å; angles 90.00, 90.00, 120.00 degrees
Fractional positions:
Hf 0.000 0.000 0.248
Hf 0.000 0.000 0.752
Hf 0.333 0.667 0.419
Hf 0.333 0.667 0.914
Hf 0.667 0.333 0.086
Hf 0.667 0.333 0.581
Al 0.000 0.000 0.500
Al 0.333 0.667 0.167
Al 0.667 0.333 0.833
Sn 0.000 0.000 0.000
Sn 0.333 0.667 0.667
Sn 0.667 0.333 0.333

Calculated values
* ΔH_f (0 K): -56 kJ/mol of formula units

A plane-wave DFT calculation with GGA-PBE was carried out for a relaxed structure of KSc2Os.

Cell lengths 3.148, 3.148, 34.639 Å; angles 90.00, 90.00, 120.00 degrees
Fractional positions:
K 0.000 0.000 0.000
K 0.333 0.667 0.667
K 0.667 0.333 0.333
Sc 0.000 0.000 0.431
Sc 0.000 0.000 0.569
Sc 0.333 0.667 0.098
Sc 0.333 0.667 0.236
Sc 0.667 0.333 0.764
Sc 0.667 0.333 0.902
Os 0.000 0.000 0.500
Os 0.333 0.667 0.167
Os 0.667 0.333 0.833

Calculated values
* ΔH_f (0 K): 302 kJ/mol of formula units

Result set for final energy: -3.9803; -8.8493; -7.0570; -5.4640 eV per atom, one per record in the order listed.